This record from Alexandria via LeMat-Bulk describes a relaxed NbSbPt6 crystal. The functional is PBE.

Properties
* crystal system: tetragonal
* N(E_F): 0.81 states/eV per atom
* density: 17263 kg/m3
* ΔE_f (raw): -0.39 eV/atom

The structure in extended XYZ format:
```
8
Lattice="4.023 0.000 0.000 0.000 4.023 0.000 0.000 0.000 8.231" Properties=species:S:1:pos:R:3 pbc="T T T"
Nb 0.000 0.000 0.000
Sb 0.000 0.000 4.115
Pt 0.000 2.012 1.929
Pt 0.000 2.012 6.301
Pt 2.012 0.000 1.929
Pt 2.012 0.000 6.301
Pt 2.012 2.012 0.000
Pt 2.012 2.012 4.115
```